(1)
Material: In3TeS
Method: DFT, GGA-PBEsol
State: optimized geometry

Properties
formation energy from raw total energies: 70 meV/atom
total energy: -3.3019 eV per atom
total magnetic moment: 0.000 μB/f.u.
D(E_F): 2.552 states/eV per cell

POSCAR file:
```
In3TeS
1.0
-3.087 -4.288 -0.340
0.406 -0.708 5.231
-4.282 3.024 0.742
In Te S
3 1 1
direct
0.000 0.500 0.000 In
0.500 0.000 0.000 In
0.000 0.000 0.500 In
0.500 0.500 0.500 Te
0.000 0.000 0.000 S
```

(2)
Material: InTeS2
Method: DFT, GGA-PBEsol
State: optimized geometry

Properties
formation energy from raw total energies: -289 meV/atom
energy above the lowest structure with this stoichiometry: 0.00 eV/f.u.
total energy: -4.1083 eV per atom
total magnetic moment: 0.000 μB/f.u.
D(E_F): 1.228 states/eV per cell

POSCAR file:
```
InTeS2
1.0
3.762 0.000 0.000
1.881 3.258 0.000
1.881 1.086 8.096
Te S In
1 2 1
direct
0.000 0.000 0.000 Te
0.107 0.107 0.678 S
0.893 0.893 0.322 S
0.500 0.500 0.500 In
```

(3)
Material: YIn2TeS
Method: DFT, GGA-PBEsol
State: optimized geometry

Properties
formation energy from raw total energies: 509 meV/atom
total energy: -3.6303 eV per atom
total magnetic moment: 0.500 μB/f.u.
D(E_F): 5.263 states/eV per cell

POSCAR file:
```
YIn2TeS
1.0
5.460 0.000 0.000
0.000 5.969 0.000
0.000 0.000 5.969
In Te Y S
2 1 1 1
direct
0.000 0.000 0.500 In
0.000 0.500 0.000 In
0.500 0.000 0.000 Te
0.000 0.000 0.000 Y
0.500 0.500 0.500 S
```